Entry 1:
# CuP2Pt (PBE, optimized geometry)
data_CuP2Pt
_chemical_formula_sum 'Cu2 P4 Pt2'
_cell_length_a 2.8123
_cell_length_b 4.3576
_cell_length_c 10.3689
_cell_angle_alpha 90.00
_cell_angle_beta 90.00
_cell_angle_gamma 90.00
_space_group_name_H-M_alt 'I m m m'
_space_group_IT_number 71
_space_group_name_Hall '-I 2 2'
loop_
_atom_site_label
_atom_site_type_symbol
_atom_site_fract_x
_atom_site_fract_y
_atom_site_fract_z
Cu1 Cu 0.0000 0.0000 0.0000
P1 P 0.0000 0.5000 0.1959
Pt1 Pt 0.0000 0.0000 0.5000
# **Fermi-level density of states**: 4.37 states/eV/cell
# **E_tot**: -40.44 eV/cell
# **E above lowest polymorph**: 292 meV/atom
# **Energy of formation**: 71 kJ/mol of formula units



Entry 2:
# Cu5PPt6 (PBE, optimized geometry)
data_Cu5PPt6
_chemical_formula_sum 'Cu10 P2 Pt12'
_cell_length_a 13.2214
_cell_length_b 5.7414
_cell_length_c 4.4384
_cell_angle_alpha 90.00
_cell_angle_beta 99.73
_cell_angle_gamma 90.00
_space_group_name_H-M_alt 'C 1 2/m 1'
_space_group_IT_number 12
loop_
_space_group_symop_operation_xyz
'x,y,z'
'-x,-y,-z'
'-x,y,-z'
'x,-y,z'
'x+1/2,y+1/2,z'
'-x+1/2,-y+1/2,-z'
'-x+1/2,y+1/2,-z'
'x+1/2,-y+1/2,z'
loop_
_atom_site_label
_atom_site_type_symbol
_atom_site_fract_x
_atom_site_fract_y
_atom_site_fract_z
Cu1 Cu 0.0000 0.0000 0.0000
Cu2 Cu 0.1685 0.0000 0.6400
Cu3 Cu 0.1819 0.5000 0.6400
P1 P 0.0000 0.5000 0.0000
Pt1 Pt 0.0000 0.2595 0.5000
Pt2 Pt 0.1572 0.2577 0.1254
# **Fermi-level density of states**: 7.46 states/eV/cell
# **E_tot**: -129.12 eV/cell
# **Energy of formation**: -234 kJ/mol of formula units



We obtain mass density values of 8.4 15.2 g/cm³ for the records listed above, in that order.